1.
Entry from Alexandria via LeMat-Bulk: a relaxed Nd8GeS3I4 crystal (PBE).

Its uncorrected formation energy is -1.37 eV/atom. As for the total energy: -5.206 eV/atom.

CIF file:
```
data_Nd8GeS3I4
_chemical_formula_sum 'Nd24 Ge3 S9 I12'
_symmetry_space_group_name_H-M 'R -3 m'
_symmetry_Int_Tables_number 166
_symmetry_space_group_name_Hall '-R 3 2"'
_cell_length_a 8.3979
_cell_length_b 8.3979
_cell_length_c 23.1341
_cell_angle_alpha 90.00
_cell_angle_beta 90.00
_cell_angle_gamma 120.00
loop_
_atom_site_label
_atom_site_type_symbol
_atom_site_fract_x
_atom_site_fract_y
_atom_site_fract_z
Nd1 Nd 0.0000 0.0000 0.2278
Nd2 Nd 0.0110 0.5055 0.7701
Ge1 Ge 0.0000 0.0000 0.5000
S1 S 0.0000 0.5000 0.5000
I1 I 0.0000 0.0000 0.0000
I2 I 0.0000 0.5000 0.0000
```

2.
Entry from Alexandria via LeMat-Bulk: a relaxed DyGa3Ir crystal (PBE).

The polymorph energy (0 for the lowest one) comes out at 0.00 eV/f.u. As for the total energy: -5.186 eV/atom. The calculation puts the formation energy at -677 meV/atom.

CIF file:
```
data_DyGa3Ir
_chemical_formula_sum 'Dy3 Ga9 Ir3'
_symmetry_space_group_name_H-M 'P m -3 m'
_symmetry_Int_Tables_number 221
_symmetry_space_group_name_Hall '-P 4 2 3'
_cell_length_a 6.431
_cell_length_b 6.431
_cell_length_c 6.431
_cell_angle_alpha 90.00
_cell_angle_beta 90.00
_cell_angle_gamma 90.00
loop_
_atom_site_label
_atom_site_type_symbol
_atom_site_fract_x
_atom_site_fract_y
_atom_site_fract_z
Dy1 Dy 0.000 0.000 0.500
Ga1 Ga 0.000 0.000 0.000
Ga2 Ga 0.288 0.288 0.288
Ir1 Ir 0.000 0.500 0.500
```